Entry 1:
Hf4GaRu5: optimized geometry, PBE-GGA.

The calculation puts the total energy at -96.73 eV/cell. The calculation puts the total magnetic moment at 0.00 μB/cell. For the volume, the calculation gives 164.6 Å³/cell. The energy relative to the elements comes out at -72 kJ per mole of atoms.

It has space group P4/mmm (No. 123), with a = 3.2244 Å, b = 3.2244 Å, c = 15.8348 Å, α = 90.00°, β = 90.00° and γ = 90.00°. Symmetry generates all atoms from Hf at (0.0000, 0.0000, 0.1039), Hf at (0.0000, 0.0000, 0.3114), Ga at (0.0000, 0.0000, 0.5000), Ru at (0.5000, 0.5000, 0.0000), Ru at (0.5000, 0.5000, 0.2041) and Ru at (0.5000, 0.5000, 0.4080).



Entry 2:
PaGaIrRh: optimized geometry, PBE-GGA.

The calculation puts the total energy at -125.17 eV/cell. The calculation puts the total magnetic moment at 0.00 μB/cell. For the volume, the calculation gives 290.2 Å³/cell. The energy relative to the elements comes out at -62 kJ per mole of atoms.

It has space group F-43m (No. 216), with a = 6.6207 Å, b = 6.6207 Å, c = 6.6207 Å, α = 90.00°, β = 90.00° and γ = 90.00°. Symmetry generates all atoms from Pa at (0.0000, 0.0000, 0.0000), Ga at (0.0000, 0.0000, 0.5000), Ir at (0.2500, 0.2500, 0.7500) and Rh at (0.2500, 0.2500, 0.2500).



Entry 3:
La2Tb4As3N2: optimized geometry, PBE-GGA.

The calculation puts the total energy at -147.66 eV/cell. The calculation puts the total magnetic moment at 0.06 μB/cell. For the volume, the calculation gives 518.6 Å³/cell. For the uncorrected formation energy, the calculation gives -1.351 eV per atom.

It has space group I4/mmm (No. 139), with a = 4.6093 Å, b = 4.6093 Å, c = 24.4097 Å, α = 90.00°, β = 90.00° and γ = 90.00°. Symmetry generates all atoms from La at (0.0000, 0.0000, 0.1945), Tb at (0.0000, 0.5000, 0.0784), As at (0.0000, 0.0000, 0.3287), As at (0.0000, 0.0000, 0.5000) and N at (0.0000, 0.0000, 0.0975).



Entry 4:
Pa2B3C5: optimized geometry, PBE-GGA.

The calculation puts the total energy at -337.90 eV/cell. The calculation puts the total magnetic moment at 0.00 μB/cell. For the volume, the calculation gives 428.0 Å³/cell. The energy relative to the elements comes out at 6 kJ per mole of atoms.

It has space group Ibam (No. 72), with a = 6.2951 Å, b = 13.6355 Å, c = 4.9859 Å, α = 90.00°, β = 90.00° and γ = 90.00°. Symmetry generates all atoms from Pa at (0.2310, 0.1554, 0.0000), B at (0.0000, 0.0000, 0.2500), B at (0.1321, 0.4607, 0.0000), C at (0.0000, 0.2565, 0.2500), C at (0.0000, 0.5000, 0.2500) and C at (0.1331, 0.0531, 0.5000).



- Number 2 is which compound?
  PaGaIrRh